(1)
# YZn2H PBE optimized geometry
# - Magnetic moment: 0.00 μB/cell
# - Fermi-level density of states: 8.71 states/eV per cell
# - Density: 5031 kg/m3
# - Total DFT energy (no corrections): -42.3 eV for the cell shown
data_YZn2H
_symmetry_space_group_name_H-M 'F m -3 m'
_symmetry_Int_Tables_number 225
_symmetry_space_group_name_Hall '-F 4 2 3'
_cell_length_a 6.630
_cell_length_b 6.630
_cell_length_c 6.630
_cell_angle_alpha 90.00
_cell_angle_beta 90.00
_cell_angle_gamma 90.00
loop_
_atom_site_label
_atom_site_type_symbol
_atom_site_fract_x
_atom_site_fract_y
_atom_site_fract_z
Y1 Y 0.000 0.000 0.000
Zn1 Zn 0.250 0.250 0.250
H1 H 0.000 0.000 0.500


(2)
# InRe2Au PBE optimized geometry
# - Magnetic moment: 0.00 μB/cell
# - Fermi-level density of states: 2.65 states/eV per cell
# - Density: 16513 kg/m3
# - ΔE_f: 1.4 eV per formula unit
data_InRe2Au
_symmetry_space_group_name_H-M 'P m m 2'
_symmetry_Int_Tables_number 25
_symmetry_space_group_name_Hall 'P 2 -2'
_cell_length_a 2.938
_cell_length_b 3.873
_cell_length_c 6.048
_cell_angle_alpha 90.00
_cell_angle_beta 90.00
_cell_angle_gamma 90.00
loop_
_atom_site_label
_atom_site_type_symbol
_atom_site_fract_x
_atom_site_fract_y
_atom_site_fract_z
In1 In 0.000 0.000 0.000
Re1 Re 0.000 0.000 0.470
Re2 Re 0.500 0.500 0.292
Au1 Au 0.500 0.500 0.753


(3)
# Th3CoSn PBE optimized geometry
# - Magnetic moment: 0.00 μB/cell
# - Fermi-level density of states: 19.41 states/eV per cell
# - Density: 10233 kg/m3
# - ΔE_f: -1.5 eV per formula unit
data_Th3CoSn
_symmetry_space_group_name_H-M 'P 1 21/c 1'
_symmetry_Int_Tables_number 14
_symmetry_space_group_name_Hall '-P 2ybc'
_cell_length_a 10.608
_cell_length_b 6.373
_cell_length_c 8.949
_cell_angle_alpha 90.00
_cell_angle_beta 110.37
_cell_angle_gamma 90.00
loop_
_atom_site_label
_atom_site_type_symbol
_atom_site_fract_x
_atom_site_fract_y
_atom_site_fract_z
Th1 Th 0.084 0.087 0.364
Th2 Th 0.182 0.595 0.542
Th3 Th 0.390 0.123 0.773
Co1 Co 0.113 0.204 0.641
Sn1 Sn 0.383 0.637 0.913


(4)
# HfPbO3 PBE optimized geometry
# - Magnetic moment: 0.00 μB/cell
# - ΔE_f (raw): -132 kJ per mole of atoms
# - Fermi-level density of states: 4.87 states/eV per cell
# - Density: 9676 kg/m3
data_HfPbO3
_symmetry_space_group_name_H-M 'C m c m'
_symmetry_Int_Tables_number 63
_symmetry_space_group_name_Hall '-C 2c 2'
_cell_length_a 3.779
_cell_length_b 14.624
_cell_length_c 5.386
_cell_angle_alpha 90.00
_cell_angle_beta 90.00
_cell_angle_gamma 90.00
loop_
_atom_site_label
_atom_site_type_symbol
_atom_site_fract_x
_atom_site_fract_y
_atom_site_fract_z
Hf1 Hf 0.000 0.051 0.250
Pb1 Pb 0.000 0.330 0.250
O1 O 0.000 0.500 0.000
O2 O 0.240 0.331 0.750


(5)
# ThPdSe2 PBE optimized geometry
# - Magnetic moment: 0.00 μB/cell
# - ΔE_f (raw): -121 kJ per mole of atoms
# - Fermi-level density of states: 0.68 states/eV per cell
# - Density: 8871 kg/m3
data_ThPdSe2
_symmetry_space_group_name_H-M 'P n m a'
_symmetry_Int_Tables_number 62
_symmetry_space_group_name_Hall '-P 2ac 2n'
_cell_length_a 7.022
_cell_length_b 4.037
_cell_length_c 13.112
_cell_angle_alpha 90.00
_cell_angle_beta 90.00
_cell_angle_gamma 90.00
loop_
_atom_site_label
_atom_site_type_symbol
_atom_site_fract_x
_atom_site_fract_y
_atom_site_fract_z
Th1 Th 0.225 0.250 0.138
Pd1 Pd 0.067 0.750 0.435
Se1 Se 0.034 0.250 0.752
Se2 Se 0.195 0.750 0.973


(6)
# Sm2Tm6Sc PBE optimized geometry
# - Magnetic moment: 0.00 μB/cell
# - Fermi-level density of states: 46.03 states/eV per cell
# - Density: 8204 kg/m3
# - ΔE_f: 1.1 eV per formula unit
data_Sm2Tm6Sc
_symmetry_space_group_name_H-M 'C 1 2/c 1'
_symmetry_Int_Tables_number 15
_symmetry_space_group_name_Hall '-C 2yc'
_cell_length_a 12.635
_cell_length_b 13.910
_cell_length_c 6.435
_cell_angle_alpha 90.00
_cell_angle_beta 103.35
_cell_angle_gamma 90.00
loop_
_atom_site_label
_atom_site_type_symbol
_atom_site_fract_x
_atom_site_fract_y
_atom_site_fract_z
Sm1 Sm 0.143 0.025 0.374
Tm1 Tm 0.033 0.191 0.002
Tm2 Tm 0.130 0.412 0.807
Tm3 Tm 0.244 0.200 0.734
Sc1 Sc 0.000 0.383 0.250


(7)
# Ac2EuIn PBE optimized geometry
# - Magnetic moment: 30.09 μB/cell
# - Fermi-level density of states: 17.02 states/eV per cell
# - Density: 8046 kg/m3
# - ΔE_f: -0.6 eV per formula unit
data_Ac2EuIn
_symmetry_space_group_name_H-M 'F m -3 m'
_symmetry_Int_Tables_number 225
_symmetry_space_group_name_Hall '-F 4 2 3'
_cell_length_a 8.411
_cell_length_b 8.411
_cell_length_c 8.411
_cell_angle_alpha 90.00
_cell_angle_beta 90.00
_cell_angle_gamma 90.00
loop_
_atom_site_label
_atom_site_type_symbol
_atom_site_fract_x
_atom_site_fract_y
_atom_site_fract_z
Ac1 Ac 0.250 0.250 0.250
Eu1 Eu 0.000 0.000 0.000
In1 In 0.000 0.000 0.500


(8)
# P2PbOF PBE optimized geometry
# - Magnetic moment: 3.08 μB/cell
# - ΔE_f (raw): 81 kJ per mole of atoms
# - Fermi-level density of states: 6.94 states/eV per cell
# - Density: 4034 kg/m3
data_P2PbOF
_symmetry_space_group_name_H-M 'P 4/m m m'
_symmetry_Int_Tables_number 123
_symmetry_space_group_name_Hall '-P 4 2'
_cell_length_a 5.444
_cell_length_b 5.444
_cell_length_c 4.224
_cell_angle_alpha 90.00
_cell_angle_beta 90.00
_cell_angle_gamma 90.00
loop_
_atom_site_label
_atom_site_type_symbol
_atom_site_fract_x
_atom_site_fract_y
_atom_site_fract_z
P1 P 0.000 0.500 0.000
Pb1 Pb 0.000 0.000 0.000
O1 O 0.000 0.000 0.500
F1 F 0.500 0.500 0.500


(9)
# DySiO2 PBE optimized geometry
# - Magnetic moment: 0.00 μB/cell
# - ΔE_f (raw): -124 kJ per mole of atoms
# - Fermi-level density of states: 5.29 states/eV per cell
# - Density: 7015 kg/m3
data_DySiO2
_symmetry_space_group_name_H-M 'R -3 m'
_symmetry_Int_Tables_number 166
_symmetry_space_group_name_Hall '-R 3 2"'
_cell_length_a 2.9349
_cell_length_b 2.9349
_cell_length_c 21.1886
_cell_angle_alpha 90.00
_cell_angle_beta 90.00
_cell_angle_gamma 120.00
loop_
_atom_site_label
_atom_site_type_symbol
_atom_site_fract_x
_atom_site_fract_y
_atom_site_fract_z
Dy1 Dy 0.0000 0.0000 0.0000
Si1 Si 0.0000 0.0000 0.5000
O1 O 0.0000 0.0000 0.1252


(10)
# Pm2HoHf PBE optimized geometry
# - Magnetic moment: 0.00 μB/cell
# - Fermi-level density of states: 17.06 states/eV per cell
# - Density: 8856 kg/m3
# - ΔE_f: 0.6 eV per formula unit
data_Pm2HoHf
_symmetry_space_group_name_H-M 'R 3 m'
_symmetry_Int_Tables_number 160
_symmetry_space_group_name_Hall 'R 3 -2"'
_cell_length_a 3.4747
_cell_length_b 3.4747
_cell_length_c 34.0784
_cell_angle_alpha 90.00
_cell_angle_beta 90.00
_cell_angle_gamma 120.00
loop_
_atom_site_label
_atom_site_type_symbol
_atom_site_fract_x
_atom_site_fract_y
_atom_site_fract_z
Pm1 Pm 0.0000 0.0000 0.0000
Pm2 Pm 0.0000 0.0000 0.1767
Ho1 Ho 0.0000 0.0000 0.4208
Hf1 Hf 0.0000 0.0000 0.5885


(11)
# Hf2ZrBe PBE optimized geometry
# - Magnetic moment: 0.00 μB/cell
# - Fermi-level density of states: 3.95 states/eV per cell
# - Density: 9890 kg/m3
# - ΔE_f: 0.3 eV per formula unit
data_Hf2ZrBe
_symmetry_space_group_name_H-M 'P 4/m m m'
_symmetry_Int_Tables_number 123
_symmetry_space_group_name_Hall '-P 4 2'
_cell_length_a 4.252
_cell_length_b 4.252
_cell_length_c 4.246
_cell_angle_alpha 90.00
_cell_angle_beta 90.00
_cell_angle_gamma 90.00
loop_
_atom_site_label
_atom_site_type_symbol
_atom_site_fract_x
_atom_site_fract_y
_atom_site_fract_z
Hf1 Hf 0.000 0.500 0.000
Zr1 Zr 0.000 0.000 0.500
Be1 Be 0.500 0.500 0.500


(12)
# CuNi2Pt3 PBE optimized geometry
# - Magnetic moment: 2.29 μB/cell
# - Fermi-level density of states: 7.73 states/eV per cell
# - Density: 15585 kg/m3
# - ΔE_f: -0.7 eV per formula unit
data_CuNi2Pt3
_symmetry_space_group_name_H-M 'P 4/m m m'
_symmetry_Int_Tables_number 123
_symmetry_space_group_name_Hall '-P 4 2'
_cell_length_a 2.725
_cell_length_b 2.725
_cell_length_c 10.994
_cell_angle_alpha 90.00
_cell_angle_beta 90.00
_cell_angle_gamma 90.00
loop_
_atom_site_label
_atom_site_type_symbol
_atom_site_fract_x
_atom_site_fract_y
_atom_site_fract_z
Cu1 Cu 0.000 0.000 0.000
Ni1 Ni 0.000 0.000 0.335
Pt1 Pt 0.500 0.500 0.171
Pt2 Pt 0.500 0.500 0.500


(13)
# SnBiF3 PBE optimized geometry
# - Magnetic moment: 0.00 μB/cell
# - ΔE_f (raw): -138 kJ per mole of atoms
# - Fermi-level density of states: 4.48 states/eV per cell
# - Density: 6114 kg/m3
data_SnBiF3
_symmetry_space_group_name_H-M 'P m -3 m'
_symmetry_Int_Tables_number 221
_symmetry_space_group_name_Hall '-P 4 2 3'
_cell_length_a 4.710
_cell_length_b 4.710
_cell_length_c 4.710
_cell_angle_alpha 90.00
_cell_angle_beta 90.00
_cell_angle_gamma 90.00
loop_
_atom_site_label
_atom_site_type_symbol
_atom_site_fract_x
_atom_site_fract_y
_atom_site_fract_z
Sn1 Sn 0.000 0.000 0.000
Bi1 Bi 0.500 0.500 0.500
F1 F 0.000 0.500 0.500


(14)
# CsMgAl3 PBE optimized geometry
# - Magnetic moment: 0.00 μB/cell
# - Fermi-level density of states: 3.64 states/eV per cell
# - Density: 2396 kg/m3
# - ΔE_f: 3.3 eV per formula unit
data_CsMgAl3
_symmetry_space_group_name_H-M 'P m -3 m'
_symmetry_Int_Tables_number 221
_symmetry_space_group_name_Hall '-P 4 2 3'
_cell_length_a 5.486
_cell_length_b 5.486
_cell_length_c 5.486
_cell_angle_alpha 90.00
_cell_angle_beta 90.00
_cell_angle_gamma 90.00
loop_
_atom_site_label
_atom_site_type_symbol
_atom_site_fract_x
_atom_site_fract_y
_atom_site_fract_z
Cs1 Cs 0.000 0.000 0.000
Mg1 Mg 0.500 0.500 0.500
Al1 Al 0.000 0.500 0.500


(15)
# CsYSi PBE optimized geometry
# - Magnetic moment: 0.00 μB/cell
# - ΔE_f (raw): -8 kJ per mole of atoms
# - Fermi-level density of states: 4.16 states/eV per cell
# - Density: 3161 kg/m3
data_CsYSi
_symmetry_space_group_name_H-M 'P 1'
_symmetry_Int_Tables_number 1
_symmetry_space_group_name_Hall 'P 1'
_cell_length_a 3.904
_cell_length_b 5.209
_cell_length_c 14.000
_cell_angle_alpha 83.00
_cell_angle_beta 88.71
_cell_angle_gamma 68.38
loop_
_atom_site_label
_atom_site_type_symbol
_atom_site_fract_x
_atom_site_fract_y
_atom_site_fract_z
Cs1 Cs 0.000 0.000 0.000
Cs2 Cs 0.189 0.376 0.343
Y1 Y 0.246 0.535 0.761
Y2 Y 0.630 0.794 0.577
Si1 Si 0.533 0.964 0.772
Si2 Si 0.940 0.165 0.667


(16)
# GdDyCoCu PBE optimized geometry
# - Magnetic moment: 26.93 μB/cell
# - Fermi-level density of states: 13.65 states/eV per cell
# - Density: 9187 kg/m3
# - ΔE_f: -0.7 eV per formula unit
data_GdDyCoCu
_symmetry_space_group_name_H-M 'F -4 3 m'
_symmetry_Int_Tables_number 216
_symmetry_space_group_name_Hall 'F -4 2 3'
_cell_length_a 6.838
_cell_length_b 6.838
_cell_length_c 6.838
_cell_angle_alpha 90.00
_cell_angle_beta 90.00
_cell_angle_gamma 90.00
loop_
_atom_site_label
_atom_site_type_symbol
_atom_site_fract_x
_atom_site_fract_y
_atom_site_fract_z
Gd1 Gd 0.000 0.000 0.000
Dy1 Dy 0.000 0.000 0.500
Co1 Co 0.250 0.250 0.250
Cu1 Cu 0.250 0.250 0.750


(17)
# SmDySi2Pt5 PBE optimized geometry
# - Magnetic moment: 0.00 μB/cell
# - ΔE_f (raw): -103 kJ per mole of atoms
# - Fermi-level density of states: 3.60 states/eV per cell
# - Density: 13973 kg/m3
data_SmDySi2Pt5
_symmetry_space_group_name_H-M 'P 4/m m m'
_symmetry_Int_Tables_number 123
_symmetry_space_group_name_Hall '-P 4 2'
_cell_length_a 4.219
_cell_length_b 4.219
_cell_length_c 8.978
_cell_angle_alpha 90.00
_cell_angle_beta 90.00
_cell_angle_gamma 90.00
loop_
_atom_site_label
_atom_site_type_symbol
_atom_site_fract_x
_atom_site_fract_y
_atom_site_fract_z
Sm1 Sm 0.000 0.000 0.000
Dy1 Dy 0.000 0.000 0.500
Si1 Si 0.500 0.500 0.369
Pt1 Pt 0.000 0.500 0.239
Pt2 Pt 0.500 0.500 0.000


(18)
# ZnGeTeN2 PBE optimized geometry
# - Magnetic moment: 0.00 μB/cell
# - ΔE_f (raw): 105 kJ per mole of atoms
# - Fermi-level density of states: 2.42 states/eV per cell
# - Density: 4951 kg/m3
data_ZnGeTeN2
_symmetry_space_group_name_H-M 'P 4/m m m'
_symmetry_Int_Tables_number 123
_symmetry_space_group_name_Hall '-P 4 2'
_cell_length_a 3.739
_cell_length_b 3.739
_cell_length_c 7.044
_cell_angle_alpha 90.00
_cell_angle_beta 90.00
_cell_angle_gamma 90.00
loop_
_atom_site_label
_atom_site_type_symbol
_atom_site_fract_x
_atom_site_fract_y
_atom_site_fract_z
Zn1 Zn 0.000 0.000 0.000
Ge1 Ge 0.500 0.500 0.500
Te1 Te 0.500 0.500 0.000
N1 N 0.000 0.500 0.500


(19)
# Fe2Rh3 PBE optimized geometry
# - Magnetic moment: 57.00 μB/cell
# - Fermi-level density of states: 53.54 states/eV per cell
# - Density: 10184 kg/m3
# - ΔE_f: 0.1 eV per formula unit
data_Fe2Rh3
_symmetry_space_group_name_H-M 'F d d 2'
_symmetry_Int_Tables_number 43
_symmetry_space_group_name_Hall 'F 2 -2d'
_cell_length_a 9.092
_cell_length_b 12.734
_cell_length_c 4.736
_cell_angle_alpha 90.00
_cell_angle_beta 90.00
_cell_angle_gamma 90.00
loop_
_atom_site_label
_atom_site_type_symbol
_atom_site_fract_x
_atom_site_fract_y
_atom_site_fract_z
Fe1 Fe 0.027 0.202 0.000
Rh1 Rh 0.000 0.000 0.049
Rh2 Rh 0.051 0.100 0.538


(20)
# InP2Br PBE optimized geometry
# - Magnetic moment: 0.00 μB/cell
# - ΔE_f (raw): 68 kJ per mole of atoms
# - Fermi-level density of states: 2.01 states/eV per cell
# - Density: 5199 kg/m3
data_InP2Br
_symmetry_space_group_name_H-M 'P 4/m m m'
_symmetry_Int_Tables_number 123
_symmetry_space_group_name_Hall '-P 4 2'
_cell_length_a 5.061
_cell_length_b 5.061
_cell_length_c 3.200
_cell_angle_alpha 90.00
_cell_angle_beta 90.00
_cell_angle_gamma 90.00
loop_
_atom_site_label
_atom_site_type_symbol
_atom_site_fract_x
_atom_site_fract_y
_atom_site_fract_z
In1 In 0.000 0.000 0.000
P1 P 0.000 0.500 0.500
Br1 Br 0.500 0.500 0.000